[1]
Cs2CuAgCl4: optimized geometry, PBE.

```
Cs2CuAgCl4
1.0
-2.743 -4.447 -1.864
2.746 -2.201 -7.045
7.219 -9.935 4.826
Cs Cu Cl Ag
4 2 8 2
Direct
0.826 0.000 0.347
0.924 0.500 0.153
0.174 0.000 0.653
0.576 0.500 0.847
0.500 0.000 0.000
0.250 0.500 0.500
0.562 0.207 0.110
0.422 0.707 0.390
0.328 0.793 0.110
0.879 0.793 0.890
0.518 0.293 0.610
0.871 0.707 0.610
0.232 0.207 0.890
0.188 0.293 0.390
0.750 0.500 0.500
0.000 0.000 0.000
```

Spin magnetization: 0.0136 μB/atom
Energy relative to the elements, uncorrected: -116 kJ/mol of atoms
Space-group type: Fddd
Raw total energy: -51.3 eV/cell


[2]
La8Tb2Th3: optimized geometry, PBE.

```
La8Tb2Th3
1.0
-10.471 -1.136 0.591
1.347 -10.206 4.260
6.700 7.413 1.072
La Th Tb
8 3 2
Direct
0.986 0.383 0.765
0.359 0.280 0.043
0.014 0.617 0.235
0.834 0.748 0.496
0.641 0.237 0.957
0.359 0.763 0.043
0.641 0.720 0.957
0.166 0.252 0.504
0.000 0.239 0.000
0.000 0.761 0.000
0.500 0.000 0.000
0.423 0.187 0.374
0.577 0.813 0.626
```

Spin magnetization: 0.0000 μB/atom
Energy of formation from the pure elements: 0.2043 eV per atom
Space-group type: C2/m
Raw total energy: -68.3 eV/cell


[3]
Zr2NiSn2: optimized geometry, PBE.

```
Zr2NiSn2
1.0
6.886 0.000 0.000
0.000 6.886 0.000
0.000 0.000 4.660
Zr Sn Ni
4 4 2
Direct
0.163 0.337 0.000
0.337 0.837 0.000
0.837 0.663 0.000
0.663 0.163 0.000
0.154 0.654 0.500
0.846 0.346 0.500
0.346 0.154 0.500
0.654 0.846 0.500
0.000 0.000 0.000
0.500 0.500 0.000
```

Spin magnetization: 0.0000 μB/atom
Energy of formation from the pure elements: -0.1438 eV per atom
Space-group type: P4/mbm
Raw total energy: -63.2 eV/cell


Repeat the second record exactly.
La8Tb2Th3: optimized geometry, PBE.

```
La8Tb2Th3
1.0
-10.471 -1.136 0.591
1.347 -10.206 4.260
6.700 7.413 1.072
La Th Tb
8 3 2
Direct
0.986 0.383 0.765
0.359 0.280 0.043
0.014 0.617 0.235
0.834 0.748 0.496
0.641 0.237 0.957
0.359 0.763 0.043
0.641 0.720 0.957
0.166 0.252 0.504
0.000 0.239 0.000
0.000 0.761 0.000
0.500 0.000 0.000
0.423 0.187 0.374
0.577 0.813 0.626
```

Spin magnetization: 0.0000 μB/atom
Energy of formation from the pure elements: 0.2043 eV per atom
Space-group type: C2/m
Raw total energy: -68.3 eV/cell


Repeat the first record exactly.
Cs2CuAgCl4: optimized geometry, PBE.

```
Cs2CuAgCl4
1.0
-2.743 -4.447 -1.864
2.746 -2.201 -7.045
7.219 -9.935 4.826
Cs Cu Cl Ag
4 2 8 2
Direct
0.826 0.000 0.347
0.924 0.500 0.153
0.174 0.000 0.653
0.576 0.500 0.847
0.500 0.000 0.000
0.250 0.500 0.500
0.562 0.207 0.110
0.422 0.707 0.390
0.328 0.793 0.110
0.879 0.793 0.890
0.518 0.293 0.610
0.871 0.707 0.610
0.232 0.207 0.890
0.188 0.293 0.390
0.750 0.500 0.500
0.000 0.000 0.000
```

Spin magnetization: 0.0136 μB/atom
Energy relative to the elements, uncorrected: -116 kJ/mol of atoms
Space-group type: Fddd
Raw total energy: -51.3 eV/cell